RbTbSe4: optimized geometry, PBE.

The space group is P4/nbm (No. 125, origin choice 2) and the conventional cell measures 6.2962, 6.2962 and 8.6920 Å, with angles of 90.00, 90.00 and 90.00 degrees. Symmetry generates all atoms from Rb at (0.2500, 0.2500, 0.0000), Tb at (0.2500, 0.2500, 0.5000) and Se at (0.1134, 0.6134, 0.3013).

The spin magnetization comes out at 0.00 μB/cell. Its total energy is -4.42 eV/atom.



SrTmNO: optimized geometry, PBE.

The space group is P4/nmm (No. 129, origin choice 2) and the conventional cell measures 4.1526, 4.1526 and 8.0434 Å, with angles of 90.00, 90.00 and 90.00 degrees. Symmetry generates all atoms from Sr at (0.2500, 0.7500, 0.0000), Tm at (0.2500, 0.2500, 0.3995), N at (0.2500, 0.2500, 0.8252) and O at (0.2500, 0.7500, 0.5000).

The spin magnetization comes out at 0.00 μB/cell. The calculation puts the offset from the most stable computed form at 828.5 meV/atom.



KZrNb: optimized geometry, PBE.

The space group is F-43m (No. 216) and the conventional cell measures 7.1842, 7.1842 and 7.1842 Å, with angles of 90.00, 90.00 and 90.00 degrees. Symmetry generates all atoms from K at (0.0000, 0.0000, 0.0000), Zr at (0.0000, 0.0000, 0.5000) and Nb at (0.2500, 0.2500, 0.2500).

The spin magnetization comes out at 11.76 μB/cell. The calculation puts the offset from the most stable computed form at 0.0 meV/atom.



Ho: optimized geometry, PBE.

The space group is R-3m (No. 166, hexagonal axes) and the conventional cell measures 3.5148, 3.5148 and 8.3979 Å, with angles of 90.00, 90.00 and 120.00 degrees. Symmetry generates all atoms from Ho at (0.0000, 0.0000, 0.0000).

The spin magnetization comes out at 0.10 μB/cell. The calculation puts the offset from the most stable computed form at 26.3 meV/atom. The value obtained for the formation energy from the elements is 0.0 eV per formula unit.



CsCuSnS3: optimized geometry, PBE.

The space group is Pnma (No. 62) and the conventional cell measures 11.8299, 3.7729 and 14.3678 Å, with angles of 90.00, 90.00 and 90.00 degrees. Symmetry generates all atoms from Cs at (0.2461, 0.2500, 0.0145), Cu at (0.1812, 0.2500, 0.7539), Sn at (0.0381, 0.2500, 0.2545), S at (0.0239, 0.7500, 0.1318), S at (0.0451, 0.2500, 0.6399) and S at (0.2362, 0.2500, 0.3061).

The calculation puts the offset from the most stable computed form at 32.2 meV/atom.



Ba2FeGeS6: optimized geometry, PBE.

The space group is Fm-3m (No. 225) and the conventional cell measures 9.6458, 9.6458 and 9.6458 Å, with angles of 90.00, 90.00 and 90.00 degrees. Symmetry generates all atoms from Ba at (0.2500, 0.2500, 0.2500), Fe at (0.0000, 0.0000, 0.0000), Ge at (0.0000, 0.0000, 0.5000) and S at (0.0000, 0.0000, 0.2439).

The spin magnetization comes out at 13.70 μB/cell. Its total energy is -4.99 eV/atom.



ThSiPd: optimized geometry, PBE.

The space group is Amm2 (No. 38) and the conventional cell measures 3.1613, 14.5658 and 8.4270 Å, with angles of 90.00, 90.00 and 90.00 degrees. Symmetry generates all atoms from Th at (0.0000, 0.0000, 0.0000), Th at (0.0000, 0.1669, 0.5006), Si at (0.5000, 0.0000, 0.3340), Si at (0.5000, 0.1668, 0.8334), Pd at (0.0000, 0.0000, 0.6668) and Pd at (0.0000, 0.1664, 0.1677).

The spin magnetization comes out at 0.00 μB/cell. Its total energy is -6.18 eV/atom.



BaCuPdS3: optimized geometry, PBE.

The space group is Cmcm (No. 63) and the conventional cell measures 3.9689, 12.7367 and 9.8513 Å, with angles of 90.00, 90.00 and 90.00 degrees. Symmetry generates all atoms from Ba at (0.0000, 0.2492, 0.2500), Cu at (0.0000, 0.4663, 0.7500), Pd at (0.0000, 0.0000, 0.0000), S at (0.0000, 0.0556, 0.7500) and S at (0.0000, 0.3780, 0.5426).

Its total energy is -4.62 eV/atom.



We obtain V values of 28.714 17.337 30.900 29.949 26.720 22.436 21.558 20.749 Å³ per atom for the records listed above, in that order.